First-principles (PBEsol) data for crystalline Ta2HgTe at its relaxed geometry, as listed in Alexandria via LeMat-Bulk.

abc: 3.2847 3.2847 27.6355
angles: 90.00 90.00 120.00
Space group R3m (No. 160, hexagonal axes)
Inequivalent atoms, fractional coordinates:
Ta1 0.0000 0.0000 0.0000
Ta2 0.0000 0.0000 0.2615
Hg1 0.0000 0.0000 0.7481
Te1 0.0000 0.0000 0.5197

Results
Relative energy among the computed polymorphs in eV/atom: 0.0000
Raw formation energy in meV/atom: 153.3
Spin magnetization in μB per cell: 0.000

=====

First-principles (PBEsol) data for crystalline In2IrSe at its relaxed geometry, as listed in Alexandria via LeMat-Bulk.

abc: 3.002 4.611 12.068
angles: 90.00 90.00 90.00
Space group Imm2 (No. 44)
Inequivalent atoms, fractional coordinates:
In1 0.000 0.000 0.000
In2 0.000 0.500 0.196
Ir1 0.000 0.500 0.703
Se1 0.000 0.000 0.377

Results
Raw formation energy in meV/atom: -18.5
Spin magnetization in μB per cell: 0.001

=====

First-principles (PBEsol) data for crystalline Re2TcSe at its relaxed geometry, as listed in Alexandria via LeMat-Bulk.

abc: 9.634 2.924 4.317
angles: 90.00 92.77 90.00
Space group C2/m (No. 12)
Inequivalent atoms, fractional coordinates:
Re1 0.219 0.000 0.228
Tc1 0.000 0.500 0.000
Se1 0.000 0.000 0.500

Results
Raw formation energy in meV/atom: 332.0
Spin magnetization in μB per cell: 0.000

=====

First-principles (PBEsol) data for crystalline BeIr2Ru at its relaxed geometry, as listed in Alexandria via LeMat-Bulk.

abc: 2.728 2.728 6.574
angles: 90.00 90.00 90.00
Space group P4mm (No. 99)
Inequivalent atoms, fractional coordinates:
Be1 0.000 0.000 0.000
Ir1 0.000 0.000 0.503
Ir2 0.500 0.500 0.206
Ru1 0.500 0.500 0.777

Results
Energy of formation from the pure elements in eV per formula unit: -0.8
Spin magnetization in μB per cell: 0.000